# 1
# UHg2S2 GGA-PBE relaxed
data_UHg2S2
_chemical_formula_sum 'U2 Hg4 S4'
_cell_length_a 6.909
_cell_length_b 3.986
_cell_length_c 12.256
_cell_angle_alpha 90.00
_cell_angle_beta 99.50
_cell_angle_gamma 90.00
_symmetry_space_group_name_H-M 'C 1 2/m 1'
_symmetry_Int_Tables_number 12
loop_
_symmetry_equiv_pos_as_xyz
'x,y,z'
'-x,-y,-z'
'-x,y,-z'
'x,-y,z'
'x+1/2,y+1/2,z'
'-x+1/2,-y+1/2,-z'
'-x+1/2,y+1/2,-z'
'x+1/2,-y+1/2,z'
loop_
_atom_site_label
_atom_site_type_symbol
_atom_site_fract_x
_atom_site_fract_y
_atom_site_fract_z
U1 U 0.000 0.000 0.000
Hg1 Hg 0.137 0.000 0.392
S1 S 0.133 0.500 0.885
# - uncorrected energy (eV/cell) = -48.19
# - raw formation energy (eV/atom) = -0.79

***

# 2
# UHgS3 GGA-PBE relaxed
data_UHgS3
_chemical_formula_sum 'U4 Hg4 S12'
_cell_length_a 17.901
_cell_length_b 4.516
_cell_length_c 7.084
_cell_angle_alpha 90.00
_cell_angle_beta 101.20
_cell_angle_gamma 90.00
_symmetry_space_group_name_H-M 'C 1 2/m 1'
_symmetry_Int_Tables_number 12
loop_
_symmetry_equiv_pos_as_xyz
'x,y,z'
'-x,-y,-z'
'-x,y,-z'
'x,-y,z'
'x+1/2,y+1/2,z'
'-x+1/2,-y+1/2,-z'
'-x+1/2,y+1/2,-z'
'x+1/2,-y+1/2,z'
loop_
_atom_site_label
_atom_site_type_symbol
_atom_site_fract_x
_atom_site_fract_y
_atom_site_fract_z
U1 U 0.155 0.000 0.048
Hg1 Hg 0.058 0.500 0.212
S1 S 0.042 0.000 0.781
S2 S 0.173 0.000 0.390
S3 S 0.191 0.500 0.894
# - energy relative to the lowest polymorph listed for this composition (meV/atom) = 220
# - uncorrected energy (eV/cell) = -107.28
# - raw formation energy (eV/atom) = -0.57

***

# 3
# UHgS3 GGA-PBE relaxed
data_UHgS3
_chemical_formula_sum 'U2 Hg2 S6'
_cell_length_a 5.334
_cell_length_b 7.031
_cell_length_c 8.286
_cell_angle_alpha 74.65
_cell_angle_beta 86.92
_cell_angle_gamma 71.48
_symmetry_space_group_name_H-M 'P -1'
_symmetry_Int_Tables_number 2
loop_
_symmetry_equiv_pos_as_xyz
'x,y,z'
'-x,-y,-z'
loop_
_atom_site_label
_atom_site_type_symbol
_atom_site_fract_x
_atom_site_fract_y
_atom_site_fract_z
U1 U 0.112 0.203 0.495
Hg1 Hg 0.294 0.654 0.922
S1 S 0.042 0.425 0.705
S2 S 0.084 0.054 0.229
S3 S 0.409 0.784 0.541
# - energy relative to the lowest polymorph listed for this composition (meV/atom) = 0
# - uncorrected energy (eV/cell) = -55.84
# - raw formation energy (eV/atom) = -0.79

***

# 4
# U6HgS12 GGA-PBE relaxed
data_U6HgS12
_chemical_formula_sum 'U18 Hg3 S36'
_cell_length_a 12.7304
_cell_length_b 12.7304
_cell_length_c 9.7921
_cell_angle_alpha 90.00
_cell_angle_beta 90.00
_cell_angle_gamma 120.00
_symmetry_space_group_name_H-M 'R -3 m'
_symmetry_Int_Tables_number 166
_symmetry_space_group_name_Hall '-R 3 2"'
loop_
_atom_site_label
_atom_site_type_symbol
_atom_site_fract_x
_atom_site_fract_y
_atom_site_fract_z
U1 U 0.0603 0.5302 0.2795
Hg1 Hg 0.0000 0.0000 0.0000
S1 S 0.0000 0.3706 0.5000
S2 S 0.0870 0.1739 0.3597
# - uncorrected energy (eV/cell) = -421.58
# - raw formation energy (eV/atom) = -1.21